LiAc4Pr3Te8 PBE optimized geometry; total magnetization = 0.0 μB per formula unit; calculated total energy = -80.8 eV per formula unit; crystal system = trigonal; E_form (uncorrected) = -33.14 kcal/mol of atoms; symmetry = No. 166
1.0
-7.183 -5.399 2.279
2.846 -0.094 8.748
-1.453 8.055 -4.352
Ac Te Li Pr
4 8 1 3
direct
0.500 0.000 0.500 Ac
0.000 0.000 0.500 Ac
0.500 0.000 0.000 Ac
0.000 0.000 0.000 Ac
0.746 0.738 0.492 Te
0.239 0.731 0.478 Te
0.761 0.269 0.522 Te
0.761 0.269 0.008 Te
0.239 0.731 0.992 Te
0.254 0.262 0.508 Te
0.247 0.269 0.008 Te
0.753 0.731 0.992 Te
0.000 0.500 0.000 Li
0.000 0.500 0.500 Pr
0.500 0.500 0.500 Pr
0.500 0.500 0.000 Pr

=====

YEr2Th PBE optimized geometry; total magnetization = 0.5 μB per formula unit; calculated total energy = -23.0 eV per formula unit; crystal system = trigonal; symmetry = No. 160; calculated formation energy = 0.0024 eV/atom
1.0
3.578 0.000 0.000
1.789 3.098 0.000
1.789 1.033 11.369
Th Er Y
1 2 1
direct
0.666 0.666 0.001 Th
0.251 0.251 0.246 Er
0.082 0.082 0.754 Er
0.501 0.501 0.498 Y

=====

BiPPd3 PBE optimized geometry; total magnetization = 0.3 μB per formula unit; calculated total energy = -19.7 eV per formula unit; crystal system = cubic; symmetry = No. 221; calculated formation energy = 1.0313 eV/atom
1.0
-3.807 2.244 2.395
1.790 -1.654 4.396
2.751 4.182 0.454
Pd Bi P
3 1 1
direct
0.000 0.000 0.500 Pd
0.500 0.000 0.000 Pd
0.000 0.500 0.000 Pd
0.000 0.000 0.000 Bi
0.500 0.500 0.500 P

=====

CS PBE optimized geometry; total magnetization = 0.0 μB per formula unit; calculated total energy = -10.5 eV per formula unit; crystal system = monoclinic; E_form (uncorrected) = 33.24 kcal/mol of atoms; symmetry = No. 8
1.0
-0.643 -2.184 -4.344
2.538 0.906 -0.831
2.128 -3.159 3.057
C S
2 2
direct
0.602 0.500 0.511 C
0.602 0.000 0.011 C
0.403 0.000 0.613 S
0.403 0.500 0.113 S

=====

The highest calculated total energy belongs to which entry? CS

=====

Look up the calculated total energy of the fourth one. -10.5 eV per formula unit

=====

What is the formula in the first record? LiAc4Pr3Te8